1.
The following is a GGA-PBE calculation of an optimized crystal structure of KYBeN2, from Alexandria via LeMat-Bulk.

abc: 4.461 4.461 6.535
angles: 90.00 90.00 90.00
Positions (direct):
K  0.000  0.000  0.000
Y  0.000  0.000  0.500
Be  0.500  0.500  0.000
N  0.000  0.500  0.500
N  0.500  0.000  0.500

Summary:
raw formation energy = 1.32 eV per atom
DOS(E_F) = 2.26 states/eV/f.u.
total magnetization = 0.07 Bohr magnetons per cell
space-group type = P4/mmm, No. 123
calculated density = 2.1 Mg/m³



2.
The following is a GGA-PBE calculation of an optimized crystal structure of K3NaBe, from Alexandria via LeMat-Bulk.

abc: 6.517 6.517 6.517
angles: 90.00 90.00 90.00
Positions (direct):
K  0.000  0.000  0.500
K  0.000  0.500  0.000
K  0.500  0.000  0.000
Na  0.500  0.500  0.500
Be  0.000  0.000  0.000

Summary:
DOS(E_F) = 4.96 states/eV/f.u.
total magnetization = 0.00 Bohr magnetons per cell
excess energy over the best structure of this formula in the dataset = 0 meV/atom
space-group type = Pm-3m, No. 221
calculated density = 0.9 Mg/m³